Below is ScCr3Pd at its PBEsol-relaxed geometry, with properties calculated at the meta-GGA SCAN level.

Calculated values
SG   Pm-3m, No. 221
Energy of formation from the pure elements   825 meV per atom
Crystal system   cubic

abc: 4.7153 4.7153 4.7153
angles: 90.00 90.00 90.00
Closest atoms and distances in Å follow each position.
Element x y z (fractional)
Sc  0.5000  0.5000  0.5000  12 Cr 3.33
Cr  0.0000  0.5000  0.0000  2 Pd 2.36
Cr  0.0000  0.0000  0.5000  2 Pd 2.36
Cr  0.5000  0.0000  0.0000  2 Pd 2.36
Pd  0.0000  0.0000  0.0000  6 Cr 2.36

Below is CrPdSe3 at its PBEsol-relaxed geometry, with properties calculated at the meta-GGA SCAN level.

Calculated values
SG   Pm-3m, No. 221
E_form (uncorrected)   380 meV per atom
Crystal system   cubic

abc: 4.8486 4.8486 4.8486
angles: 90.00 90.00 90.00
Closest atoms and distances in Å follow each position.
Element x y z (fractional)
Cr  0.5000  0.5000  0.5000  12 Se 3.43
Se  0.0000  0.5000  0.0000  2 Pd 2.42
Se  0.0000  0.0000  0.5000  2 Pd 2.42
Se  0.5000  0.0000  0.0000  2 Pd 2.42
Pd  0.0000  0.0000  0.0000  6 Se 2.42

Below is CrSiPd3 at its PBEsol-relaxed geometry, with properties calculated at the meta-GGA SCAN level.

Calculated values
SG   Pm-3m, No. 221
E_form (uncorrected)   15 meV per atom
Crystal system   cubic

abc: 4.4295 4.4295 4.4295
angles: 90.00 90.00 90.00
Closest atoms and distances in Å follow each position.
Element x y z (fractional)
Cr  0.5000  0.5000  0.5000  12 Pd 3.13
Si  0.0000  0.0000  0.0000  6 Pd 2.21
Pd  0.0000  0.5000  0.0000  2 Si 2.21
Pd  0.0000  0.0000  0.5000  2 Si 2.21
Pd  0.5000  0.0000  0.0000  2 Si 2.21

Below is CrSnPd3 at its PBEsol-relaxed geometry, with properties calculated at the meta-GGA SCAN level.

Calculated values
SG   Pm-3m, No. 221
Energy of formation from the pure elements   681 meV per atom
Crystal system   cubic

abc: 4.8226 4.8226 4.8226
angles: 90.00 90.00 90.00
Closest atoms and distances in Å follow each position.
Element x y z (fractional)
Cr  0.5000  0.5000  0.5000  12 Pd 3.41
Sn  0.0000  0.0000  0.0000  6 Pd 2.41
Pd  0.0000  0.5000  0.0000  2 Sn 2.41
Pd  0.0000  0.0000  0.5000  2 Sn 2.41
Pd  0.5000  0.0000  0.0000  2 Sn 2.41

| no. | M_tot (μB/f.u.) | volume (Å³ per atom) | calculated density (g/cm³) |
| --- | --- | --- | --- |
| 1 | 12.27 | 20.97 | 4.868 |
| 2 | 2.90 | 22.80 | 5.759 |
| 3 | 4.63 | 17.38 | 7.630 |
| 4 | 4.67 | 22.43 | 7.254 |